Entry from Alexandria via LeMat-Bulk: a relaxed structure of MgBeSe3 (PBE).

Results
**Calculated volume**: 125.0 Å³ per cell
**Formation energy from raw total energies**: 0.65 eV/atom
**Size of the total moment**: 0.0000 μB/atom
**Relative energy among the computed polymorphs**: 673 meV/atom
**Space group**: Pm-3m (221)
**Crystal system**: cubic

Unit cell a=4.9995 b=4.9995 c=4.9995 alpha=90.00 beta=90.00 gamma=90.00
Atoms (fractional coordinates):
1 Se 0.0000 0.5000 0.0000
2 Se 0.5000 0.0000 0.0000
3 Be 0.5000 0.5000 0.5000
4 Se 0.0000 0.0000 0.5000
5 Mg 0.0000 0.0000 0.0000


Entry from Alexandria via LeMat-Bulk: a relaxed structure of Al3PdS (PBE).

Results
**Calculated volume**: 97.2 Å³ per cell
**Formation energy from raw total energies**: 0.37 eV/atom
**Size of the total moment**: 0.0000 μB/atom
**Relative energy among the computed polymorphs**: 448 meV/atom
**Space group**: Pm-3m (221)
**Crystal system**: cubic

Unit cell a=4.5980 b=4.5980 c=4.5980 alpha=90.00 beta=90.00 gamma=90.00
Atoms (fractional coordinates):
1 Al 0.0000 0.5000 0.0000
2 S 0.0000 0.0000 0.0000
3 Al 0.0000 0.0000 0.5000
4 Al 0.5000 0.0000 0.0000
5 Pd 0.5000 0.5000 0.5000


Entry from Alexandria via LeMat-Bulk: a relaxed structure of Tl2Tc3 (PBE).

Results
**Calculated volume**: 89.4 Å³ per cell
**Size of the total moment**: 0.0004 μB/atom
**Relative energy among the computed polymorphs**: 0 meV/atom
**Space group**: R-3m (166)
**Crystal system**: trigonal

Unit cell a=11.5509 b=11.5509 c=11.5509 alpha=14.96 beta=14.96 gamma=14.96
Atoms (fractional coordinates):
1 Tc 0.8055 0.8055 0.8055
2 Tc 0.0000 0.0000 0.0000
3 Tl 0.4008 0.4008 0.4008
4 Tl 0.5992 0.5992 0.5992
5 Tc 0.1945 0.1945 0.1945


Entry from Alexandria via LeMat-Bulk: a relaxed structure of TlCo2Br (PBE).

Results
**Calculated volume**: 76.3 Å³ per cell
**Formation energy from raw total energies**: 0.74 eV/atom
**Size of the total moment**: 0.8448 μB/atom
**Relative energy among the computed polymorphs**: 399 meV/atom
**Space group**: Cmmm (65)
**Crystal system**: orthorhombic

Unit cell a=3.3343 b=3.3343 c=8.2057 alpha=90.00 beta=90.00 gamma=123.28
Atoms (fractional coordinates):
1 Co 0.0000 0.0000 0.5145
2 Tl 0.5000 0.5000 0.2500
3 Br 0.5000 0.5000 0.7500
4 Co 0.0000 0.0000 0.9855


> Which of these has the highest size of the total moment?

TlCo2Br


> What is the size of the total moment in the first record?

0.0000 μB/atom


> Number 2 is which compound?

Al3PdS